# 1
First-principles (PBE) data for a relaxed structure of Rb2Na3, as listed in Alexandria.

Cell: 7.963 7.737 11.574 Å, 79.80 69.88 59.03°
Sites, in units of the cell vectors:
1 Rb 0.891 0.158 0.598
2 Rb 0.647 0.842 0.402
3 Rb 0.799 0.342 0.098
4 Rb 0.239 0.658 0.902
5 Na 0.820 0.652 0.746
6 Na 0.217 0.348 0.254
7 Na 0.222 0.848 0.246
8 Na 0.316 0.152 0.754
9 Na 0.304 0.500 0.500
10 Na 0.554 0.000 0.000

## Properties
Total moment = 0.000 μB/atom
Energy relative to the lowest polymorph listed for this composition = 5 meV per atom
Final energy = -1.147 eV/atom
Space group = Fdd2 (43)

***

# 2
First-principles (PBE) data for a relaxed structure of SrMn4Se, as listed in Alexandria.

Cell: 5.565 5.565 5.565 Å, 60.00 60.00 60.00°
Each line ends with the local moment (μB).
Sites, in units of the cell vectors:
1 Mn 0.373 0.373 0.373  3.69
2 Mn 0.373 0.373 0.880  3.69
3 Mn 0.373 0.880 0.373  3.69
4 Mn 0.880 0.373 0.373  3.69
5 Sr 0.000 0.000 0.000  -0.02
6 Se 0.750 0.750 0.750  0.14

## Properties
Total moment = 2.666 μB/atom
Energy relative to the elements, uncorrected = 45.66 kJ per mole of atoms
Final energy = -6.501 eV/atom
Space group = F-43m (216)

***

# 3
First-principles (PBE) data for a relaxed structure of ZrSbCl2, as listed in Alexandria.

Cell: 4.347 4.347 4.788 Å, 90.00 90.00 90.00°
Each line ends with the local moment (μB).
Sites, in units of the cell vectors:
1 Cl 0.500 0.500 0.000  0.00
2 Cl 0.000 0.000 0.000  0.00
3 Zr 0.000 0.500 0.500  0.41
4 Sb 0.500 0.000 0.500  0.02

## Properties
Total moment = 0.160 μB/atom
Energy relative to the elements, uncorrected = -23.64 kJ per mole of atoms
Energy relative to the lowest polymorph listed for this composition = 830 meV per atom
Final energy = -4.336 eV/atom
Space group = P4/mmm (123)

***

# 4
First-principles (PBE) data for a relaxed structure of AgH2N2, as listed in Alexandria.

Cell: 3.152 3.152 4.778 Å, 70.74 70.74 90.00°
Each line ends with the local moment (μB).
Sites, in units of the cell vectors:
1 Ag 0.000 0.000 0.000  0.04
2 H 0.281 0.281 0.438  0.00
3 H 0.719 0.719 0.562  0.00
4 N 0.750 0.250 0.500  0.11
5 N 0.250 0.750 0.500  0.11

## Properties
Total moment = 0.061 μB/atom
Energy relative to the lowest polymorph listed for this composition = 1422 meV per atom
Final energy = -3.531 eV/atom
Space group = I4/mmm (139)

***

# 5
First-principles (PBE) data for a relaxed structure of NbInBr3, as listed in Alexandria.

Cell: 5.761 8.030 14.944 Å, 74.22 90.00 90.00°
Sites, in units of the cell vectors:
1 Nb 0.752 0.000 0.000
2 Nb 0.252 0.000 0.500
3 Nb 0.248 0.000 0.000
4 Nb 0.748 0.000 0.500
5 Br 0.500 0.696 0.061
6 Br 0.500 0.304 0.939
7 Br 0.500 0.003 0.159
8 Br 0.000 0.784 0.936
9 Br 0.500 0.216 0.564
10 Br 0.000 0.304 0.439
11 Br 0.000 0.003 0.659
12 Br 0.000 0.216 0.064
13 Br 0.000 0.997 0.341
14 Br 0.500 0.784 0.436
15 Br 0.000 0.696 0.561
16 Br 0.500 0.997 0.841
17 In 0.500 0.724 0.687
18 In 0.500 0.276 0.313
19 In 0.000 0.276 0.813
20 In 0.000 0.724 0.187

## Properties
Total moment = 0.000 μB/atom
Energy relative to the elements, uncorrected = -49.54 kJ per mole of atoms
Final energy = -4.079 eV/atom
Space group = C2/m (12)

***

# 6
First-principles (PBE) data for a relaxed structure of SrH3Pt, as listed in Alexandria.

Cell: 6.495 4.828 4.492 Å, 93.54 88.93 76.32°
Sites, in units of the cell vectors:
1 H 0.819 0.093 0.310
2 H 0.673 0.602 0.045
3 H 0.374 0.465 0.803
4 H 0.068 0.613 0.263
5 H 0.337 0.825 0.497
6 H 0.602 0.002 0.749
7 Pt 0.927 0.369 0.281
8 Pt 0.500 0.723 0.774
9 Sr 0.433 0.243 0.276
10 Sr 0.988 0.863 0.785

## Properties
Total moment = 0.000 μB/atom
Final energy = -4.117 eV/atom
Space group = P1 (1)